First-principles (PBE-GGA) data for a relaxed NiMo2P crystal, as listed in the Alexandria database.

The space group is C2/m (No. 12) and the conventional cell measures 11.354, 8.528 and 4.797 Å, with angles of 90.00, 113.56 and 90.00 degrees. The inequivalent atoms are Ni at (0.160, 0.149, 0.407), Mo at (0.000, 0.339, 0.000), Mo at (0.079, 0.000, 0.855), Mo at (0.134, 0.500, 0.628), Mo at (0.250, 0.250, 0.000), P at (0.000, 0.247, 0.500) and P at (0.203, 0.500, 0.205).

The raw total energy is -8.624 eV/atom. The total magnetization is 0.00 μB per cell. As for the energy relative to the elements: -0.4107 eV/atom.

First-principles (PBE-GGA) data for a relaxed Sm2Cd2Pt3 crystal, as listed in the Alexandria database.

The space group is C2/m (No. 12) and the conventional cell measures 9.961, 4.318 and 7.438 Å, with angles of 90.00, 106.16 and 90.00 degrees. The inequivalent atoms are Sm at (0.133, 0.000, 0.312), Cd at (0.126, 0.500, 0.935), Pt at (0.000, 0.500, 0.500) and Pt at (0.168, 0.000, 0.712).

The raw total energy is -5.032 eV/atom. The total magnetization is 0.00 μB per cell. As for the energy relative to the elements: -0.8330 eV/atom.

First-principles (PBE-GGA) data for a relaxed Pm6MgHg crystal, as listed in the Alexandria database.

The space group is I4/mmm (No. 139) and the conventional cell measures 5.216, 5.216 and 18.397 Å, with angles of 90.00, 90.00 and 90.00 degrees. The inequivalent atoms are Pm at (0.000, 0.000, 0.248), Pm at (0.000, 0.500, 0.113), Mg at (0.000, 0.000, 0.000) and Hg at (0.000, 0.000, 0.500).

The raw total energy is -3.929 eV/atom. The total magnetization is 0.00 μB per cell. As for the energy relative to the elements: -0.1293 eV/atom.

First-principles (PBE-GGA) data for a relaxed Nd2TmTl2Ag2 crystal, as listed in the Alexandria database.

The space group is R-3m (No. 166, hexagonal axes) and the conventional cell measures 4.8842, 4.8842 and 27.6874 Å, with angles of 90.00, 90.00 and 120.00 degrees. The inequivalent atoms are Nd at (0.0000, 0.0000, 0.1240), Tm at (0.0000, 0.0000, 0.0000), Tl at (0.0000, 0.0000, 0.2630) and Ag at (0.0000, 0.0000, 0.3862).

The raw total energy is -3.669 eV/atom. The total magnetization is 0.00 μB per cell. As for the energy relative to the elements: -0.1770 eV/atom.